A relaxed Mn3GaH crystal. Source: Alexandria, functional PBE-GGA. Values from VASP.

Summary:
Space group: No. 8
Uncorrected energy, eV/atom: -6.7366

Geometry as Quantum ESPRESSO input:
```
&SYSTEM
  ibrav = 0, nat = 10, ntyp = 3
/
ATOMIC_SPECIES
Ga 69.72 Ga.upf
Mn 54.94 Mn.upf
H 1.01 H.upf
ATOMIC_POSITIONS crystal
Ga 0.807 0.963 0.219
Mn 0.499 0.459 0.467
Mn 0.002 0.438 0.190
Mn 0.300 0.948 0.990
H 0.145 0.669 0.572
Mn 0.839 0.923 0.699
Mn 0.300 0.948 0.433
H 0.499 0.846 0.660
Mn 0.002 0.438 0.722
Ga 0.499 0.418 0.946
CELL_PARAMETERS angstrom
4.602 -0.004 -0.003
0.199 4.926 -0.020
0.001 -2.520 4.318
```